Entry 1:
VASP calculation (PBE-GGA) on NaMgH2 after structural relaxation.

Values from the calculation:
**N(E_F)**: 0.10 states/eV per atom
**Raw total energy**: -2.1844 eV/atom

abc: 2.893 2.893 6.045
angles: 90.00 90.00 90.00
Positions (direct):
H  0.000  0.000  0.793
H  0.000  0.000  0.207
Na  0.500  0.500  0.500
Mg  0.500  0.500  0.000

Entry 2:
VASP calculation (PBE-GGA) on NaMgNiH6 after structural relaxation.

Values from the calculation:
**N(E_F)**: 0.08 states/eV per atom
**Raw total energy**: -3.3000 eV/atom

abc: 4.650 4.650 4.790
angles: 90.00 90.00 59.99
Positions (direct):
Ni  0.333  0.333  0.500
H  0.571  0.365  0.713
H  0.572  0.064  0.287
H  0.063  0.571  0.713
H  0.364  0.572  0.287
H  0.365  0.063  0.713
H  0.064  0.364  0.287
Mg  0.667  0.667  0.500
Na  0.000  0.000  0.999

Entry 3:
VASP calculation (PBE-GGA) on Na2MgNiH6 after structural relaxation.

Values from the calculation:
**N(E_F)**: 0.27 states/eV per atom
**Raw total energy**: -3.1295 eV/atom

abc: 4.873 5.127 5.127
angles: 120.00 90.00 90.00
Positions (direct):
Na  0.838  0.667  0.333
Na  0.162  0.333  0.667
Ni  0.000  0.000  0.000
H  0.201  0.849  0.697
H  0.799  0.151  0.303
H  0.201  0.303  0.151
H  0.201  0.849  0.151
H  0.799  0.151  0.849
H  0.799  0.697  0.849
Mg  0.500  0.000  0.000

Entry 4:
VASP calculation (PBE-GGA) on Na2MgNiH8 after structural relaxation.

Values from the calculation:
**Raw total energy**: -3.0737 eV/atom

abc: 4.960 4.960 5.188
angles: 90.00 90.00 120.00
Positions (direct):
H  0.854  0.708  0.830
H  0.292  0.146  0.830
H  0.146  0.854  0.170
H  0.333  0.667  0.425
H  0.667  0.333  0.575
H  0.854  0.146  0.830
H  0.146  0.292  0.170
H  0.708  0.854  0.170
Na  0.333  0.667  0.833
Na  0.667  0.333  0.167
Mg  0.000  0.000  0.500
Ni  0.000  0.000  0.000

Entry 5:
VASP calculation (PBE-GGA) on NaMgPH12O11 after structural relaxation.

Values from the calculation:
**N(E_F)**: 0.36 states/eV per atom
**Raw total energy**: -5.2679 eV/atom

abc: 6.804 6.804 11.016
angles: 90.00 90.00 90.00
Last column: magnetic moment on the atom in μB.
Positions (direct):
O  0.500  0.000  0.688  0.05
O  0.812  0.000  0.830  0.04
O  0.000  0.188  0.670  0.04
O  0.224  0.721  0.000  0.01
O  0.812  0.000  0.170  0.04
O  0.776  0.279  0.000  0.01
O  0.500  0.500  0.750  1.41
O  0.188  0.000  0.170  0.04
O  0.279  0.224  0.500  0.01
O  0.188  0.000  0.830  0.04
O  0.000  0.812  0.670  0.04
O  0.000  0.500  0.188  0.05
O  0.224  0.279  0.000  0.01
O  0.000  0.812  0.330  0.04
O  0.279  0.776  0.500  0.01
O  0.000  0.500  0.812  0.05
O  0.776  0.721  0.000  0.01
O  0.721  0.776  0.500  0.01
O  0.721  0.224  0.500  0.01
O  0.500  0.000  0.312  0.05
O  0.500  0.500  0.250  1.41
O  0.000  0.188  0.330  0.04
H  0.186  0.785  0.571  0.00
H  0.382  0.000  0.257  0.00
H  0.785  0.186  0.071  0.00
H  0.000  0.382  0.757  0.00
H  0.814  0.785  0.571  0.00
H  0.186  0.785  0.429  0.00
H  0.215  0.186  0.071  0.00
H  0.785  0.814  0.929  0.00
H  0.186  0.215  0.571  0.00
H  0.382  0.000  0.743  0.00
H  0.000  0.618  0.757  0.00
H  0.000  0.382  0.243  0.00
H  0.785  0.186  0.929  0.00
H  0.186  0.215  0.429  0.00
H  0.814  0.785  0.429  0.00
H  0.215  0.814  0.071  0.00
H  0.814  0.215  0.571  0.00
H  0.618  0.000  0.257  0.00
H  0.000  0.618  0.243  0.00
H  0.814  0.215  0.429  0.00
H  0.215  0.814  0.929  0.00
H  0.215  0.186  0.929  0.00
H  0.785  0.814  0.071  0.00
H  0.618  0.000  0.743  0.00
Mg  0.000  0.500  0.000  0.00
Mg  0.500  0.000  0.500  0.00
Na  0.500  0.500  0.500  0.00
Na  0.500  0.500  0.000  0.00
P  0.000  0.000  0.250  0.00
P  0.000  0.000  0.750  0.00

Entry 6:
VASP calculation (PBE-GGA) on Na2MgH32S2O24 after structural relaxation.

Values from the calculation:
**N(E_F)**: 0.00 states/eV per atom
**Raw total energy**: -5.1458 eV/atom

abc: 6.606 6.636 14.653
angles: 87.26 80.02 66.26
Positions (direct):
H  0.440  0.431  0.350
H  0.430  0.560  0.142
H  0.657  0.886  0.582
H  0.707  0.666  0.059
H  0.143  0.075  0.666
H  0.170  0.199  0.225
H  0.078  0.969  0.309
H  0.184  0.570  0.166
H  0.436  0.851  0.414
H  0.192  0.554  0.469
H  0.560  0.569  0.650
H  0.293  0.334  0.941
H  0.204  0.436  0.335
H  0.570  0.440  0.858
H  0.602  0.008  0.771
H  0.816  0.430  0.834
H  0.206  0.596  0.573
H  0.808  0.446  0.531
H  0.564  0.149  0.586
H  0.794  0.404  0.427
H  0.798  0.002  0.149
H  0.922  0.031  0.691
H  0.796  0.564  0.665
H  0.675  0.627  0.959
H  0.398  0.992  0.229
H  0.796  0.237  0.130
H  0.857  0.925  0.334
H  0.204  0.763  0.870
H  0.325  0.373  0.041
H  0.202  0.998  0.851
H  0.343  0.114  0.418
H  0.830  0.801  0.775
O  0.704  0.416  0.885
O  0.991  0.510  0.749
O  0.321  0.377  0.374
O  0.301  0.152  0.755
O  0.681  0.016  0.554
O  0.338  0.256  0.997
O  0.364  0.438  0.659
O  0.702  0.522  0.172
O  0.679  0.623  0.626
O  0.296  0.584  0.115
O  0.009  0.490  0.251
O  0.319  0.984  0.446
O  0.028  0.054  0.639
O  0.870  0.334  0.479
O  0.755  0.962  0.785
O  0.662  0.744  0.003
O  0.245  0.038  0.215
O  0.972  0.946  0.361
O  0.699  0.848  0.245
O  0.298  0.478  0.828
O  0.130  0.666  0.521
O  0.636  0.562  0.341
O  0.842  0.091  0.100
O  0.158  0.909  0.900
S  0.761  0.605  0.252
S  0.239  0.395  0.748
Na  0.250  0.949  0.050
Na  0.750  0.051  0.950
Mg  0.000  0.000  0.500

Entry 7:
VASP calculation (PBE-GGA) on Na3Mg5Si8H2O24 after structural relaxation.

Values from the calculation:
**N(E_F)**: 0.17 states/eV per atom
**Raw total energy**: -6.8649 eV/atom

abc: 5.332 9.999 18.301
angles: 90.00 90.00 103.45
Last column: magnetic moment on the atom in μB.
Positions (direct):
O  0.705  0.381  0.992  0.15
O  0.675  0.883  0.495  0.18
O  0.529  0.093  0.863  0.01
O  0.529  0.093  0.637  0.01
O  0.248  0.374  0.083  0.04
O  0.188  0.914  0.250  0.00
O  0.205  0.869  0.919  0.04
O  0.705  0.381  0.508  0.15
O  0.965  0.908  0.379  0.01
O  0.737  0.364  0.163  0.00
O  0.812  0.086  0.750  0.00
O  0.616  0.600  0.382  0.00
O  0.752  0.626  0.917  0.04
O  0.230  0.354  0.250  0.01
O  0.118  0.592  0.144  0.00
O  0.882  0.408  0.856  0.00
O  0.307  0.140  0.337  0.00
O  0.752  0.626  0.583  0.04
O  0.035  0.092  0.879  0.01
O  0.307  0.140  0.163  0.00
O  0.882  0.408  0.644  0.00
O  0.325  0.117  0.995  0.18
O  0.675  0.883  0.005  0.18
O  0.965  0.908  0.121  0.01
O  0.737  0.364  0.337  0.00
O  0.795  0.131  0.081  0.04
O  0.471  0.907  0.363  0.01
O  0.325  0.117  0.505  0.18
O  0.190  0.854  0.750  0.01
O  0.248  0.374  0.417  0.04
O  0.795  0.131  0.419  0.04
O  0.223  0.412  0.750  0.00
O  0.777  0.588  0.250  0.00
O  0.810  0.146  0.250  0.01
O  0.263  0.636  0.663  0.00
O  0.035  0.092  0.621  0.01
O  0.693  0.860  0.837  0.00
O  0.693  0.860  0.663  0.00
O  0.770  0.646  0.750  0.01
O  0.616  0.600  0.118  0.00
O  0.471  0.907  0.137  0.01
O  0.295  0.619  0.008  0.15
O  0.295  0.619  0.492  0.15
O  0.263  0.636  0.837  0.00
O  0.384  0.400  0.882  0.00
O  0.205  0.869  0.581  0.04
O  0.118  0.592  0.356  0.00
O  0.384  0.400  0.618  0.00
Mg  0.021  0.251  0.161  0.00
Mg  0.478  0.748  0.750  0.00
Mg  0.979  0.749  0.839  0.00
Mg  0.979  0.749  0.661  0.00
Mg  0.520  0.251  0.071  0.00
Mg  0.480  0.749  0.929  0.00
Mg  0.522  0.252  0.250  0.00
Mg  0.480  0.749  0.571  0.00
Mg  0.520  0.251  0.429  0.00
Mg  0.021  0.251  0.339  0.00
H  0.271  0.453  0.250  0.00
H  0.729  0.547  0.750  0.00
H  0.240  0.954  0.750  0.00
H  0.760  0.046  0.250  0.00
Si  0.233  0.974  0.165  0.00
Si  0.813  0.530  0.334  0.00
Si  0.682  0.460  0.583  0.00
Si  0.724  0.964  0.081  0.00
Si  0.724  0.964  0.419  0.00
Si  0.276  0.036  0.919  0.00
Si  0.318  0.540  0.083  0.00
Si  0.682  0.460  0.917  0.00
Si  0.276  0.036  0.581  0.00
Si  0.187  0.470  0.834  0.00
Si  0.187  0.470  0.666  0.00
Si  0.767  0.026  0.835  0.00
Si  0.233  0.974  0.335  0.00
Si  0.318  0.540  0.417  0.00
Si  0.813  0.530  0.166  0.00
Si  0.767  0.026  0.665  0.00
Na  0.972  0.740  0.478  0.00
Na  0.972  0.740  0.022  0.00
Na  0.028  0.260  0.522  0.00
Na  0.454  0.739  0.250  0.00
Na  0.546  0.261  0.750  0.00
Na  0.028  0.260  0.978  0.00

Entry 8:
VASP calculation (PBE-GGA) on NaMg2H8Os after structural relaxation.

Values from the calculation:
**N(E_F)**: 0.29 states/eV per atom
**Raw total energy**: -3.6639 eV/atom

abc: 4.621 4.621 6.341
angles: 90.00 90.00 120.00
Last column: magnetic moment on the atom in μB.
Positions (direct):
H  0.829  0.171  0.839  0.00
H  0.171  0.829  0.161  0.00
H  0.341  0.171  0.839  0.00
H  0.171  0.341  0.161  0.00
H  0.659  0.829  0.161  0.00
H  0.829  0.659  0.839  0.00
H  0.667  0.333  0.444  0.12
H  0.333  0.667  0.556  0.12
Os  0.000  0.000  0.000  0.38
Na  0.000  0.000  0.500  0.00
Mg  0.333  0.667  0.859  0.01
Mg  0.667  0.333  0.141  0.01

Entry 9:
VASP calculation (PBE-GGA) on Na2MgHPb after structural relaxation.

Values from the calculation:
**N(E_F)**: 0.38 states/eV per atom
**Raw total energy**: -2.3288 eV/atom

abc: 4.584 4.584 4.965
angles: 90.00 90.00 90.00
Positions (direct):
Na  0.500  0.000  0.000
Na  0.000  0.500  0.000
H  0.000  0.000  0.000
Mg  0.000  0.000  0.500
Pb  0.500  0.500  0.500

Entry 10:
VASP calculation (PBE-GGA) on Na2MgH6Pd after structural relaxation.

Values from the calculation:
**N(E_F)**: 0.04 states/eV per atom
**Raw total energy**: -3.1817 eV/atom

abc: 3.754 3.754 7.299
angles: 90.00 90.00 90.00
Positions (direct):
Na  0.000  0.000  0.272
Na  0.000  0.000  0.728
Mg  0.500  0.500  0.000
H  0.500  0.500  0.269
H  0.500  0.000  0.000
H  0.500  0.000  0.500
H  0.500  0.500  0.731
H  0.000  0.500  0.000
H  0.000  0.500  0.500
Pd  0.500  0.500  0.500

Entry 11:
VASP calculation (PBE-GGA) on Na2MgHPd after structural relaxation.

Values from the calculation:
**N(E_F)**: 0.44 states/eV per atom
**Raw total energy**: -2.1350 eV/atom

abc: 5.714 3.381 5.714
angles: 90.00 90.00 90.00
Positions (direct):
Pd  0.500  0.500  0.500
H  0.000  0.500  0.000
Mg  0.000  0.000  0.000
Na  0.000  0.000  0.500
Na  0.500  0.000  0.000

Entry 12:
VASP calculation (PBE-GGA) on Na3MgH6Pd2 after structural relaxation.

Values from the calculation:
**N(E_F)**: 0.23 states/eV per atom
**Raw total energy**: -3.1188 eV/atom

abc: 5.275 5.275 6.059
angles: 90.00 90.00 120.00
Positions (direct):
H  0.832  0.168  0.702
H  0.168  0.832  0.298
H  0.664  0.832  0.298
H  0.336  0.168  0.702
H  0.168  0.336  0.298
H  0.832  0.664  0.702
Pd  0.333  0.667  0.166
Pd  0.667  0.333  0.834
Na  0.667  0.333  0.324
Na  0.333  0.667  0.676
Na  0.000  0.000  0.000
Mg  0.000  0.000  0.500

Entry 13:
VASP calculation (PBE-GGA) on NaMgHPd2 after structural relaxation.

Values from the calculation:
**N(E_F)**: 0.28 states/eV per atom
**Raw total energy**: -3.5575 eV/atom

abc: 4.126 4.126 4.157
angles: 90.00 90.00 90.00
Positions (direct):
Pd  0.000  0.500  0.000
Pd  0.500  0.000  0.000
Mg  0.000  0.000  0.500
H  0.000  0.000  0.000
Na  0.500  0.500  0.500

Entry 14:
VASP calculation (PBE-GGA) on NaMgHPd2 after structural relaxation.

Values from the calculation:
**N(E_F)**: 0.29 states/eV per atom
**Raw total energy**: -3.6233 eV/atom

abc: 4.107 4.107 4.159
angles: 90.00 90.00 90.00
Positions (direct):
H  0.000  0.000  0.000
Mg  0.500  0.500  0.500
Pd  0.500  0.000  0.000
Pd  0.000  0.500  0.000
Na  0.000  0.000  0.500

Entry 15:
VASP calculation (PBE-GGA) on NaMg2HPd after structural relaxation.

Values from the calculation:
**N(E_F)**: 0.28 states/eV per atom
**Raw total energy**: -2.7644 eV/atom

abc: 4.351 4.351 4.151
angles: 90.00 90.00 90.00
Positions (direct):
Na  0.000  0.000  0.500
Mg  0.000  0.500  0.000
Mg  0.500  0.000  0.000
H  0.000  0.000  0.000
Pd  0.500  0.500  0.500

Entry 16:
VASP calculation (PBE-GGA) on Na2MgH6Pt after structural relaxation.

Values from the calculation:
**N(E_F)**: 0.20 states/eV per atom
**Raw total energy**: -3.1931 eV/atom

abc: 5.355 5.118 5.118
angles: 120.00 90.00 90.00
Positions (direct):
Na  0.195  0.333  0.667
Na  0.805  0.667  0.333
H  0.196  0.845  0.691
H  0.804  0.155  0.845
H  0.196  0.309  0.155
H  0.804  0.155  0.309
H  0.196  0.845  0.155
H  0.804  0.691  0.845
Mg  0.500  0.000  0.000
Pt  0.000  0.000  0.000